Entry 1:
Crystalline AgBiOs2Se at its relaxed geometry. Source: Alexandria via LeMat-Bulk, functional PBE-GGA.

As for the total moment: 0.0000 μB/atom. The total DFT energy (no corrections) comes out at -26.31 eV per cell. The formation energy from raw total energies is 1.274 eV per atom.

It has space group P4/mmm (No. 123), with a = 4.6182 Å, b = 4.6182 Å, c = 4.9956 Å, α = 90.00°, β = 90.00° and γ = 90.00°. Symmetry generates all atoms from Ag at (0.0000, 0.0000, 0.0000), Bi at (0.5000, 0.5000, 0.0000), Os at (0.0000, 0.5000, 0.5000) and Se at (0.0000, 0.0000, 0.5000).

Entry 2:
Crystalline ZrAg2BiOs at its relaxed geometry. Source: Alexandria via LeMat-Bulk, functional PBE-GGA.

As for the total moment: 0.2800 μB/atom. The total DFT energy (no corrections) comes out at -23.53 eV per cell. As for the formation energy: 1166 meV per atom. The value obtained for the relative energy among the computed polymorphs is 0.375 eV per atom.

It has space group P4/mmm (No. 123), with a = 5.0903 Å, b = 5.0903 Å, c = 5.0257 Å, α = 90.00°, β = 90.00° and γ = 90.00°. Symmetry generates all atoms from Zr at (0.0000, 0.0000, 0.0000), Ag at (0.0000, 0.5000, 0.5000), Bi at (0.5000, 0.5000, 0.0000) and Os at (0.5000, 0.5000, 0.5000).

Entry 3:
Crystalline ZrAg2BiOs at its relaxed geometry. Source: Alexandria via LeMat-Bulk, functional PBE-GGA.

As for the total moment: 0.1369 μB/atom. The total DFT energy (no corrections) comes out at -25.40 eV per cell. As for the formation energy: 791 meV per atom. The value obtained for the relative energy among the computed polymorphs is 0.000 eV per atom.

It has space group P4/mmm (No. 123), with a = 5.1427 Å, b = 5.1427 Å, c = 4.8794 Å, α = 90.00°, β = 90.00° and γ = 90.00°. Symmetry generates all atoms from Zr at (0.0000, 0.0000, 0.0000), Ag at (0.0000, 0.5000, 0.5000), Bi at (0.5000, 0.5000, 0.0000) and Os at (0.0000, 0.0000, 0.5000).

Entry 4:
Crystalline Ag2BiP at its relaxed geometry. Source: Alexandria via LeMat-Bulk, functional PBE-GGA.

As for the total moment: 0.0000 μB/atom. The total DFT energy (no corrections) comes out at -53.64 eV per cell. As for the formation energy: 396 meV per atom. The value obtained for the relative energy among the computed polymorphs is 0.087 eV per atom.

It has space group Fm-3m (No. 225), with a = 6.9601 Å, b = 6.9601 Å, c = 6.9601 Å, α = 90.00°, β = 90.00° and γ = 90.00°. Symmetry generates all atoms from Ag at (0.2500, 0.2500, 0.2500), Bi at (0.0000, 0.0000, 0.0000) and P at (0.0000, 0.0000, 0.5000).

Entry 5:
Crystalline AgBiP2 at its relaxed geometry. Source: Alexandria via LeMat-Bulk, functional PBE-GGA.

As for the total moment: 0.0000 μB/atom. The total DFT energy (no corrections) comes out at -65.10 eV per cell. As for the formation energy: 319 meV per atom.

It has space group I-42d (No. 122), with a = 5.9600 Å, b = 5.9600 Å, c = 11.9893 Å, α = 90.00°, β = 90.00° and γ = 90.00°. Symmetry generates all atoms from Ag at (0.0000, 0.0000, 0.0000), Bi at (0.0000, 0.0000, 0.5000) and P at (0.2218, 0.2500, 0.1250).

Entry 6:
Crystalline Ag2Bi2P at its relaxed geometry. Source: Alexandria via LeMat-Bulk, functional PBE-GGA.

As for the total moment: 0.0000 μB/atom. The total DFT energy (no corrections) comes out at -34.62 eV per cell. As for the formation energy: 313 meV per atom.

It has space group P4/mbm (No. 127), with a = 6.9627 Å, b = 6.9627 Å, c = 4.8644 Å, α = 90.00°, β = 90.00° and γ = 90.00°. Symmetry generates all atoms from Ag at (0.1429, 0.3571, 0.0000), Bi at (0.1707, 0.6707, 0.5000) and P at (0.0000, 0.0000, 0.0000).

Entry 7:
Crystalline Ag2BiP at its relaxed geometry. Source: Alexandria via LeMat-Bulk, functional PBE-GGA.

As for the total moment: 0.0000 μB/atom. The total DFT energy (no corrections) comes out at -55.04 eV per cell. As for the formation energy: 308 meV per atom. The value obtained for the relative energy among the computed polymorphs is 0.000 eV per atom.

It has space group I-42d (No. 122), with a = 7.7420 Å, b = 7.7420 Å, c = 5.8142 Å, α = 90.00°, β = 90.00° and γ = 90.00°. Symmetry generates all atoms from Ag at (0.2020, 0.2500, 0.1250), Bi at (0.0000, 0.0000, 0.5000) and P at (0.0000, 0.0000, 0.0000).

Entry 8:
Crystalline AgBi3P at its relaxed geometry. Source: Alexandria via LeMat-Bulk, functional PBE-GGA.

As for the total moment: 0.0000 μB/atom. The total DFT energy (no corrections) comes out at -15.19 eV per cell. As for the formation energy: 943 meV per atom. The value obtained for the relative energy among the computed polymorphs is 0.327 eV per atom.

It has space group Pm-3m (No. 221), with a = 5.4536 Å, b = 5.4536 Å, c = 5.4536 Å, α = 90.00°, β = 90.00° and γ = 90.00°. Symmetry generates all atoms from Ag at (0.0000, 0.0000, 0.0000), Bi at (0.0000, 0.0000, 0.5000) and P at (0.5000, 0.5000, 0.5000).

Entry 9:
Crystalline AgBi3P at its relaxed geometry. Source: Alexandria via LeMat-Bulk, functional PBE-GGA.

As for the total moment: 0.0000 μB/atom. The total DFT energy (no corrections) comes out at -16.83 eV per cell. As for the formation energy: 616 meV per atom. The value obtained for the relative energy among the computed polymorphs is 0.000 eV per atom.

It has space group Pm-3m (No. 221), with a = 5.4179 Å, b = 5.4179 Å, c = 5.4179 Å, α = 90.00°, β = 90.00° and γ = 90.00°. Symmetry generates all atoms from Ag at (0.0000, 0.0000, 0.0000), Bi at (0.0000, 0.5000, 0.5000) and P at (0.5000, 0.5000, 0.5000).

Entry 10:
Crystalline AgBi2P2 at its relaxed geometry. Source: Alexandria via LeMat-Bulk, functional PBE-GGA.

As for the total moment: 0.0000 μB/atom. The total DFT energy (no corrections) comes out at -37.56 eV per cell. As for the formation energy: 531 meV per atom. The value obtained for the relative energy among the computed polymorphs is 0.198 eV per atom.

It has space group I4/mmm (No. 139), with a = 4.4750 Å, b = 4.4750 Å, c = 13.8494 Å, α = 90.00°, β = 90.00° and γ = 90.00°. Symmetry generates all atoms from Ag at (0.0000, 0.0000, 0.0000), Bi at (0.0000, 0.0000, 0.3717) and P at (0.0000, 0.5000, 0.2500).

Entry 11:
Crystalline AgBi2P2 at its relaxed geometry. Source: Alexandria via LeMat-Bulk, functional PBE-GGA.

As for the total moment: 0.0000 μB/atom. The total DFT energy (no corrections) comes out at -39.54 eV per cell. As for the formation energy: 333 meV per atom. The value obtained for the relative energy among the computed polymorphs is 0.000 eV per atom.

It has space group P4/mbm (No. 127), with a = 7.7230 Å, b = 7.7230 Å, c = 3.9640 Å, α = 90.00°, β = 90.00° and γ = 90.00°. Symmetry generates all atoms from Ag at (0.0000, 0.0000, 0.0000), Bi at (0.1593, 0.3407, 0.5000) and P at (0.1675, 0.6675, 0.0000).

Entry 12:
Crystalline Ag3BiP at its relaxed geometry. Source: Alexandria via LeMat-Bulk, functional PBE-GGA.

As for the total moment: 0.5998 μB/atom. The total DFT energy (no corrections) comes out at -12.68 eV per cell. As for the formation energy: 1034 meV per atom. The value obtained for the relative energy among the computed polymorphs is 0.683 eV per atom.

It has space group Pm-3m (No. 221), with a = 5.4454 Å, b = 5.4454 Å, c = 5.4454 Å, α = 90.00°, β = 90.00° and γ = 90.00°. Symmetry generates all atoms from Ag at (0.0000, 0.0000, 0.5000), Bi at (0.0000, 0.0000, 0.0000) and P at (0.5000, 0.5000, 0.5000).

Entry 13:
Crystalline AgBi2P at its relaxed geometry. Source: Alexandria via LeMat-Bulk, functional PBE-GGA.

As for the total moment: 0.0000 μB/atom. The total DFT energy (no corrections) comes out at -59.68 eV per cell. As for the formation energy: 276 meV per atom.

It has space group I-42d (No. 122), with a = 6.5232 Å, b = 6.5232 Å, c = 12.3323 Å, α = 90.00°, β = 90.00° and γ = 90.00°. Symmetry generates all atoms from Ag at (0.0000, 0.0000, 0.0000), Bi at (0.2377, 0.2500, 0.6250) and P at (0.0000, 0.0000, 0.5000).

Entry 14:
Crystalline Ag3BiP at its relaxed geometry. Source: Alexandria via LeMat-Bulk, functional PBE-GGA.

As for the total moment: 0.0000 μB/atom. The total DFT energy (no corrections) comes out at -16.09 eV per cell. As for the formation energy: 351 meV per atom. The value obtained for the relative energy among the computed polymorphs is 0.000 eV per atom.

It has space group Pm-3m (No. 221), with a = 4.8685 Å, b = 4.8685 Å, c = 4.8685 Å, α = 90.00°, β = 90.00° and γ = 90.00°. Symmetry generates all atoms from Ag at (0.0000, 0.0000, 0.5000), Bi at (0.5000, 0.5000, 0.5000) and P at (0.0000, 0.0000, 0.0000).

Entry 15:
Crystalline AgBi2PPt at its relaxed geometry. Source: Alexandria via LeMat-Bulk, functional PBE-GGA.

As for the total moment: 0.0000 μB/atom. The total DFT energy (no corrections) comes out at -18.82 eV per cell. As for the formation energy: 649 meV per atom.

It has space group P4/mmm (No. 123), with a = 5.4177 Å, b = 5.4177 Å, c = 4.5065 Å, α = 90.00°, β = 90.00° and γ = 90.00°. Symmetry generates all atoms from Ag at (0.0000, 0.0000, 0.0000), Bi at (0.0000, 0.5000, 0.5000), P at (0.0000, 0.0000, 0.5000) and Pt at (0.5000, 0.5000, 0.0000).

Entry 16:
Crystalline AgBiP2S at its relaxed geometry. Source: Alexandria via LeMat-Bulk, functional PBE-GGA.

As for the total moment: 0.0000 μB/atom. The total DFT energy (no corrections) comes out at -17.47 eV per cell. The formation energy from raw total energies is 0.842 eV per atom. The value obtained for the relative energy among the computed polymorphs is 0.000 eV per atom.

It has space group P4/mmm (No. 123), with a = 4.5999 Å, b = 4.5999 Å, c = 5.3615 Å, α = 90.00°, β = 90.00° and γ = 90.00°. Symmetry generates all atoms from Ag at (0.0000, 0.0000, 0.0000), Bi at (0.5000, 0.5000, 0.0000), P at (0.0000, 0.5000, 0.5000) and S at (0.5000, 0.5000, 0.5000).

Entry 17:
Crystalline AgBiP2S at its relaxed geometry. Source: Alexandria via LeMat-Bulk, functional PBE-GGA.

As for the total moment: 0.0000 μB/atom. The total DFT energy (no corrections) comes out at -17.43 eV per cell. The formation energy from raw total energies is 0.850 eV per atom. The value obtained for the relative energy among the computed polymorphs is 0.008 eV per atom.

It has space group P4/mmm (No. 123), with a = 4.8036 Å, b = 4.8036 Å, c = 4.9047 Å, α = 90.00°, β = 90.00° and γ = 90.00°. Symmetry generates all atoms from Ag at (0.0000, 0.0000, 0.0000), Bi at (0.5000, 0.5000, 0.5000), P at (0.0000, 0.5000, 0.0000) and S at (0.0000, 0.0000, 0.5000).

Entry 18:
Crystalline AgBiP2S at its relaxed geometry. Source: Alexandria via LeMat-Bulk, functional PBE-GGA.

As for the total moment: 0.4580 μB/atom. The total DFT energy (no corrections) comes out at -15.68 eV per cell. The formation energy from raw total energies is 1.199 eV per atom. The value obtained for the relative energy among the computed polymorphs is 0.357 eV per atom.

It has space group P4/mmm (No. 123), with a = 5.3330 Å, b = 5.3330 Å, c = 5.2521 Å, α = 90.00°, β = 90.00° and γ = 90.00°. Symmetry generates all atoms from Ag at (0.0000, 0.0000, 0.0000), Bi at (0.5000, 0.5000, 0.5000), P at (0.0000, 0.5000, 0.5000) and S at (0.5000, 0.5000, 0.0000).

Entry 19:
Crystalline AgBiP2Se6 at its relaxed geometry. Source: Alexandria via LeMat-Bulk, functional PBE-GGA.

As for the total moment: 0.0000 μB/atom. The total DFT energy (no corrections) comes out at -242.06 eV per cell. The formation energy from raw total energies is -0.188 eV per atom.

It has space group R-3 (No. 148, hexagonal axes), with a = 6.7464 Å, b = 6.7464 Å, c = 43.8523 Å, α = 90.00°, β = 90.00° and γ = 120.00°. Symmetry generates all atoms from Ag at (0.0000, 0.0000, 0.0936), Bi at (0.0000, 0.0000, 0.4126), P at (0.0000, 0.0000, 0.2246), P at (0.0000, 0.0000, 0.2768), Se at (0.0005, 0.3752, 0.6239) and Se at (0.0100, 0.6435, 0.8753).

Entry 20:
Crystalline AgSnBiP2 at its relaxed geometry. Source: Alexandria via LeMat-Bulk, functional PBE-GGA.

As for the total moment: 0.0091 μB/atom. The total DFT energy (no corrections) comes out at -16.12 eV per cell. As for the formation energy: 1087 meV per atom.

It has space group P4/mmm (No. 123), with a = 4.9798 Å, b = 4.9798 Å, c = 5.9862 Å, α = 90.00°, β = 90.00° and γ = 90.00°. Symmetry generates all atoms from Ag at (0.0000, 0.0000, 0.0000), Sn at (0.5000, 0.5000, 0.5000), Bi at (0.5000, 0.5000, 0.0000) and P at (0.0000, 0.5000, 0.5000).